Entry 1:
Density functional theory data (PBE) for a relaxed MoBr crystal.

```
MoBr
1.0
9.2452 -0.0172 0.0000
-8.7314 3.0393 0.0000
0.0000 0.0000 3.0672
Mo Br
2 2
Cartesian
5.6736 0.5900 2.3004
-5.1597 2.4320 0.7668
2.1824 1.1837 2.3004
-1.6685 1.8384 0.7668
```

Properties
Symmetry: Cmcm
DOS(E_F): 0.742 states/eV per atom
Uncorrected energy: -24.12 eV/cell

Entry 2:
Density functional theory data (PBE) for a relaxed CeErPu2 crystal.

```
CeErPu2
1.0
3.3438 0.0000 0.0000
0.0000 3.3438 0.0000
0.0000 0.0000 9.4371
Ce Pu Er
1 2 1
Cartesian
1.6719 1.6719 0.0000
0.0000 0.0000 2.1728
0.0000 0.0000 7.2643
1.6719 1.6719 4.7185
```

Properties
Symmetry: P4/mmm
DOS(E_F): 3.110 states/eV per atom
Energy of formation from the pure elements: 0.143 eV per atom